(1)
The following is a PBE calculation of ScGe after structural relaxation, from the Alexandria database.

The total magnetic moment is 0.00 μB/f.u. The value obtained for the density of states at the Fermi level is 10.552 states/eV per cell. Its total energy is -5.2247 eV/atom.

The structure belongs to space group I-43m (No. 217); the cell edges are 8.1713, 8.1713 and 8.1713 Å and the angles 90.00°, 90.00° and 90.00°. The inequivalent atoms are Sc at (0.1949, 0.1949, 0.1949) and Ge at (0.1219, 0.1219, 0.8781).


(2)
The following is a PBE calculation of LiTbTlZn after structural relaxation, from the Alexandria database.

The total magnetic moment is 0.00 μB/f.u. The value obtained for the density of states at the Fermi level is 9.761 states/eV per cell. Its total energy is -2.8292 eV/atom.

The structure belongs to space group F-43m (No. 216); the cell edges are 7.0640, 7.0640 and 7.0640 Å and the angles 90.00°, 90.00° and 90.00°. The inequivalent atoms are Li at (0.0000, 0.0000, 0.0000), Tb at (0.0000, 0.0000, 0.5000), Tl at (0.2500, 0.2500, 0.2500) and Zn at (0.2500, 0.2500, 0.7500).


(3)
The following is a PBE calculation of BeC3Se after structural relaxation, from the Alexandria database.

The total magnetic moment is 0.00 μB/f.u. The value obtained for the density of states at the Fermi level is 2.837 states/eV per cell. The value obtained for the formation energy (no corrections) is 3.11 eV per atom.

The structure belongs to space group Pm-3m (No. 221); the cell edges are 3.8554, 3.8554 and 3.8554 Å and the angles 90.00°, 90.00° and 90.00°. The inequivalent atoms are Be at (0.0000, 0.0000, 0.0000), C at (0.0000, 0.5000, 0.5000) and Se at (0.5000, 0.5000, 0.5000).


(4)
The following is a PBE calculation of Ti2Ga6Mo after structural relaxation, from the Alexandria database.

The total magnetic moment is 0.00 μB/f.u. The value obtained for the density of states at the Fermi level is 5.423 states/eV per cell. Its total energy is -5.1319 eV/atom.

The structure belongs to space group C2/m (No. 12); the cell edges are 9.3562, 5.3856 and 6.8785 Å and the angles 90.00°, 117.10° and 90.00°. The inequivalent atoms are Ti at (0.1913, 0.0000, 0.0743), Ga at (0.0194, 0.2415, 0.3170), Ga at (0.2216, 0.0000, 0.6834) and Mo at (0.0000, 0.5000, 0.0000).


(5)
The following is a PBE calculation of Tc2AsOs after structural relaxation, from the Alexandria database.

The total magnetic moment is 0.00 μB/f.u. The value obtained for the density of states at the Fermi level is 9.514 states/eV per cell. Its total energy is -8.8333 eV/atom.

The structure belongs to space group I-4m2 (No. 119); the cell edges are 3.8186, 3.8186 and 7.9883 Å and the angles 90.00°, 90.00° and 90.00°. The inequivalent atoms are Tc at (0.0000, 0.0000, 0.0000), Tc at (0.0000, 0.5000, 0.2500), As at (0.0000, 0.5000, 0.7500) and Os at (0.0000, 0.0000, 0.5000).


(6)
The following is a PBE calculation of Li5TlPb4 after structural relaxation, from the Alexandria database.

The total magnetic moment is 0.00 μB/f.u. The value obtained for the density of states at the Fermi level is 4.108 states/eV per cell. Its total energy is -2.9335 eV/atom.

The structure belongs to space group P4/mmm (No. 123); the cell edges are 3.5579, 3.5579 and 17.6195 Å and the angles 90.00°, 90.00° and 90.00°. The inequivalent atoms are Li at (0.0000, 0.0000, 0.0000), Li at (0.0000, 0.0000, 0.1997), Li at (0.0000, 0.0000, 0.4023), Tl at (0.5000, 0.5000, 0.5000), Pb at (0.5000, 0.5000, 0.0995) and Pb at (0.5000, 0.5000, 0.3023).


(7)
The following is a PBE calculation of NaZnI2 after structural relaxation, from the Alexandria database.

The total magnetic moment is 0.00 μB/f.u. The value obtained for the density of states at the Fermi level is 8.739 states/eV per cell. The value obtained for the formation energy (no corrections) is -0.33 eV per atom.

The structure belongs to space group R-3m (No. 166, hexagonal axes); the cell edges are 4.4557, 4.4557 and 27.6428 Å and the angles 90.00°, 90.00° and 120.00°. The inequivalent atoms are Na at (0.0000, 0.0000, 0.0000), Zn at (0.0000, 0.0000, 0.5000) and I at (0.0000, 0.0000, 0.1052).


(8)
The following is a PBE calculation of BaLaZn2Ru after structural relaxation, from the Alexandria database.

The total magnetic moment is 0.00 μB/f.u. The value obtained for the density of states at the Fermi level is 3.928 states/eV per cell. Its total energy is -2.7602 eV/atom.

The structure belongs to space group P4/mmm (No. 123); the cell edges are 5.5016, 5.5016 and 5.1445 Å and the angles 90.00°, 90.00° and 90.00°. The inequivalent atoms are Ba at (0.0000, 0.0000, 0.0000), La at (0.5000, 0.5000, 0.5000), Zn at (0.0000, 0.5000, 0.0000) and Ru at (0.0000, 0.0000, 0.5000).


Copy entry 6 word for word.
The following is a PBE calculation of Li5TlPb4 after structural relaxation, from the Alexandria database.

The total magnetic moment is 0.00 μB/f.u. The value obtained for the density of states at the Fermi level is 4.108 states/eV per cell. Its total energy is -2.9335 eV/atom.

The structure belongs to space group P4/mmm (No. 123); the cell edges are 3.5579, 3.5579 and 17.6195 Å and the angles 90.00°, 90.00° and 90.00°. The inequivalent atoms are Li at (0.0000, 0.0000, 0.0000), Li at (0.0000, 0.0000, 0.1997), Li at (0.0000, 0.0000, 0.4023), Tl at (0.5000, 0.5000, 0.5000), Pb at (0.5000, 0.5000, 0.0995) and Pb at (0.5000, 0.5000, 0.3023).


Question: What is the total magnetic moment in the eighth record?
Answer: 0.00 μB/f.u.


Question: Which formula does entry 3 have?
Answer: BeC3Se


Question: Look up the total magnetic moment of the first one.
Answer: 0.00 μB/f.u.